No. 1
The following is a PBE calculation of Pu2B7Ru12 after structural relaxation, from the Alexandria database.

## Properties
E_form = -0.130 eV/atom

Cell: 8.999 8.999 3.756 Å, 90.00 90.00 120.00°
Fractional positions:
Pu1 0.000 0.000 0.000
Pu2 0.333 0.667 0.500
B1 0.077 0.428 0.000
B2 0.280 0.234 0.500
B3 0.352 0.923 0.000
B4 0.572 0.648 0.000
B5 0.667 0.333 0.000
B6 0.766 0.046 0.500
B7 0.954 0.720 0.500
Ru1 0.058 0.281 0.500
Ru2 0.102 0.686 0.000
Ru3 0.223 0.942 0.500
Ru4 0.314 0.416 0.000
Ru5 0.393 0.180 0.000
Ru6 0.550 0.426 0.500
Ru7 0.574 0.124 0.500
Ru8 0.584 0.898 0.000
Ru9 0.719 0.777 0.500
Ru10 0.787 0.607 0.000
Ru11 0.820 0.213 0.000
Ru12 0.876 0.450 0.500



No. 2
The following is a PBE calculation of CaV3N after structural relaxation, from the Alexandria database.

## Properties
ΔE_f (raw) = 0.05 eV per atom
offset from the most stable computed form = 0.0 meV/atom

Cell: 4.134 4.134 4.134 Å, 90.00 90.00 90.00°
Fractional positions:
Ca1 0.000 0.000 0.000
V1 0.000 0.500 0.500
V2 0.500 0.000 0.500
V3 0.500 0.500 0.000
N1 0.500 0.500 0.500



No. 3
The following is a PBE calculation of VHgPd5 after structural relaxation, from the Alexandria database.

## Properties
E_form = -0.047 eV/atom

Cell: 4.026 4.026 7.202 Å, 90.00 90.00 90.00°
Fractional positions:
V1 0.000 0.000 0.000
Hg1 0.500 0.500 0.500
Pd1 0.000 0.000 0.500
Pd2 0.000 0.500 0.208
Pd3 0.000 0.500 0.792
Pd4 0.500 0.000 0.208
Pd5 0.500 0.000 0.792



No. 4
The following is a PBE calculation of Rb3Zr5S12 after structural relaxation, from the Alexandria database.

## Properties
ΔE_f (raw) = -1.29 eV per atom

Cell: 14.443 14.443 14.443 Å, 109.47 109.47 109.47°
Fractional positions:
Rb1 0.125 0.250 0.375
Rb2 0.125 0.375 0.750
Rb3 0.250 0.375 0.125
Rb4 0.250 0.875 0.625
Rb5 0.375 0.125 0.250
Rb6 0.375 0.750 0.125
Rb7 0.625 0.250 0.875
Rb8 0.625 0.875 0.750
Rb9 0.750 0.125 0.375
Rb10 0.750 0.625 0.875
Rb11 0.875 0.625 0.250
Rb12 0.875 0.750 0.625
Zr1 0.000 0.000 0.000
Zr2 0.000 0.000 0.500
Zr3 0.000 0.500 0.000
Zr4 0.000 0.500 0.500
Zr5 0.125 0.750 0.875
Zr6 0.125 0.875 0.250
Zr7 0.250 0.125 0.875
Zr8 0.250 0.625 0.375
Zr9 0.375 0.250 0.625
Zr10 0.375 0.625 0.750
Zr11 0.500 0.000 0.000
Zr12 0.500 0.000 0.500
Zr13 0.500 0.500 0.000
Zr14 0.500 0.500 0.500
Zr15 0.625 0.375 0.250
Zr16 0.625 0.750 0.375
Zr17 0.750 0.375 0.625
Zr18 0.750 0.875 0.125
Zr19 0.875 0.125 0.750
Zr20 0.875 0.250 0.125
S1 0.009 0.189 0.106
S2 0.009 0.319 0.903
S3 0.084 0.689 0.681
S4 0.084 0.894 0.403
S5 0.097 0.606 0.416
S6 0.097 0.991 0.681
S7 0.106 0.009 0.189
S8 0.106 0.597 0.916
S9 0.181 0.189 0.584
S10 0.181 0.491 0.597
S11 0.189 0.106 0.009
S12 0.189 0.584 0.181
S13 0.311 0.319 0.916
S14 0.311 0.491 0.394
S15 0.319 0.903 0.009
S16 0.319 0.916 0.311
S17 0.394 0.311 0.491
S18 0.394 0.584 0.903
S19 0.403 0.084 0.894
S20 0.403 0.819 0.509
S21 0.416 0.097 0.606
S22 0.416 0.819 0.811
S23 0.491 0.394 0.311
S24 0.491 0.597 0.181
S25 0.509 0.403 0.819
S26 0.509 0.606 0.689
S27 0.584 0.181 0.189
S28 0.584 0.903 0.394
S29 0.597 0.181 0.491
S30 0.597 0.916 0.106
S31 0.606 0.416 0.097
S32 0.606 0.689 0.509
S33 0.681 0.084 0.689
S34 0.681 0.097 0.991
S35 0.689 0.509 0.606
S36 0.689 0.681 0.084
S37 0.811 0.416 0.819
S38 0.811 0.894 0.991
S39 0.819 0.509 0.403
S40 0.819 0.811 0.416
S41 0.894 0.403 0.084
S42 0.894 0.991 0.811
S43 0.903 0.009 0.319
S44 0.903 0.394 0.584
S45 0.916 0.106 0.597
S46 0.916 0.311 0.319
S47 0.991 0.681 0.097
S48 0.991 0.811 0.894



No. 5
The following is a PBE calculation of Fe2AuSe after structural relaxation, from the Alexandria database.

## Properties
ΔE_f (raw) = 0.36 eV per atom

Cell: 5.061 5.061 5.061 Å, 135.55 135.55 64.68°
Fractional positions:
Fe1 0.000 0.000 0.000
Fe2 0.750 0.250 0.500
Au1 0.500 0.500 0.000
Se1 0.250 0.750 0.500



No. 6
The following is a PBE calculation of Th3TlBi after structural relaxation, from the Alexandria database.

## Properties
E_form = -0.132 eV/atom

Cell: 6.195 6.195 13.415 Å, 104.83 104.83 42.14°
Fractional positions:
Th1 0.102 0.102 0.365
Th2 0.353 0.353 0.209
Th3 0.390 0.390 0.854
Th4 0.610 0.610 0.146
Th5 0.647 0.647 0.791
Th6 0.898 0.898 0.635
Tl1 0.126 0.126 0.963
Tl2 0.874 0.874 0.037
Bi1 0.179 0.179 0.616
Bi2 0.821 0.821 0.384



No. 7
The following is a PBE calculation of PmHoCd5 after structural relaxation, from the Alexandria database.

## Properties
E_form = -0.114 eV/atom

Cell: 5.186 5.186 6.893 Å, 90.00 90.00 90.00°
Fractional positions:
Pm1 0.000 0.000 0.000
Ho1 0.500 0.500 0.500
Cd1 0.000 0.500 0.271
Cd2 0.000 0.500 0.729
Cd3 0.500 0.000 0.271
Cd4 0.500 0.000 0.729
Cd5 0.500 0.500 0.000



No. 8
The following is a PBE calculation of PdO2F after structural relaxation, from the Alexandria database.

## Properties
ΔE_f (raw) = 0.39 eV per atom

Cell: 3.715 3.715 3.715 Å, 60.00 60.00 60.00°
Fractional positions:
Pd1 0.000 0.000 0.000
O1 0.250 0.250 0.250
O2 0.750 0.750 0.750
F1 0.500 0.500 0.500



No. 9
The following is a PBE calculation of ErTlAgBr5 after structural relaxation, from the Alexandria database.

## Properties
ΔE_f (raw) = -1.22 eV per atom

Cell: 7.942 7.942 10.604 Å, 102.38 102.38 109.66°
Fractional positions:
Er1 0.000 0.000 0.000
Er2 0.000 0.000 0.500
Tl1 0.354 0.646 0.750
Tl2 0.646 0.354 0.250
Ag1 0.309 0.691 0.250
Ag2 0.691 0.309 0.750
Br1 0.074 0.926 0.750
Br2 0.084 0.693 0.405
Br3 0.255 0.368 0.059
Br4 0.307 0.916 0.095
Br5 0.368 0.255 0.559
Br6 0.632 0.745 0.441
Br7 0.693 0.084 0.905
Br8 0.745 0.632 0.941
Br9 0.916 0.307 0.595
Br10 0.926 0.074 0.250



No. 10
The following is a PBE calculation of LaReP4 after structural relaxation, from the Alexandria database.

## Properties
E_form = 0.490 eV/atom

Cell: 5.269 5.269 5.269 Å, 60.00 60.00 60.00°
Fractional positions:
La1 0.000 0.000 0.000
Re1 0.250 0.250 0.250
P1 0.154 0.615 0.615
P2 0.615 0.154 0.615
P3 0.615 0.615 0.154
P4 0.615 0.615 0.615



No. 11
The following is a PBE calculation of BaY2S4 after structural relaxation, from the Alexandria database.

## Properties
ΔE_f (raw) = -2.15 eV per atom
offset from the most stable computed form = 0.0 meV/atom

Cell: 12.331 4.063 14.601 Å, 90.00 90.00 90.00°
Fractional positions:
Ba1 0.242 0.250 0.162
Ba2 0.258 0.750 0.662
Ba3 0.742 0.250 0.338
Ba4 0.758 0.750 0.838
Y1 0.067 0.250 0.391
Y2 0.079 0.250 0.898
Y3 0.421 0.750 0.398
Y4 0.433 0.750 0.891
Y5 0.567 0.250 0.109
Y6 0.579 0.250 0.602
Y7 0.921 0.750 0.102
Y8 0.933 0.750 0.609
S1 0.022 0.750 0.783
S2 0.081 0.250 0.577
S3 0.124 0.750 0.023
S4 0.207 0.750 0.336
S5 0.293 0.250 0.836
S6 0.376 0.250 0.523
S7 0.419 0.750 0.077
S8 0.478 0.250 0.283
S9 0.522 0.750 0.717
S10 0.581 0.250 0.923
S11 0.624 0.750 0.477
S12 0.707 0.750 0.164
S13 0.793 0.250 0.664
S14 0.876 0.250 0.977
S15 0.919 0.750 0.423
S16 0.978 0.250 0.217



No. 12
The following is a PBE calculation of Ni3IrPt4 after structural relaxation, from the Alexandria database.

## Properties
offset from the most stable computed form = 138.6 meV/atom
E_form = 0.096 eV/atom

Cell: 9.437 9.437 9.437 Å, 163.55 151.54 33.05°
Fractional positions:
Ni1 0.000 0.000 0.000
Ni2 0.245 0.245 0.000
Ni3 0.755 0.755 0.000
Ir1 0.500 0.500 0.000
Pt1 0.123 0.623 0.500
Pt2 0.368 0.868 0.500
Pt3 0.632 0.132 0.500
Pt4 0.877 0.377 0.500



No. 13
The following is a PBE calculation of Pu2Ti6Nb after structural relaxation, from the Alexandria database.

## Properties
E_form = 0.097 eV/atom

Cell: 4.736 4.736 8.403 Å, 90.00 90.00 119.81°
Fractional positions:
Pu1 0.167 0.833 0.000
Pu2 0.833 0.167 0.000
Ti1 0.167 0.833 0.341
Ti2 0.167 0.833 0.659
Ti3 0.500 0.500 0.176
Ti4 0.500 0.500 0.824
Ti5 0.833 0.167 0.341
Ti6 0.833 0.167 0.659
Nb1 0.500 0.500 0.500



No. 14
The following is a PBE calculation of ReRhCO2 after structural relaxation, from the Alexandria database.

## Properties
ΔE_f (raw) = 1.41 eV per atom

Cell: 3.628 3.628 4.179 Å, 90.00 90.00 90.00°
Fractional positions:
Re1 0.000 0.000 0.000
Rh1 0.500 0.500 0.000
C1 0.000 0.000 0.500
O1 0.000 0.500 0.500
O2 0.500 0.000 0.500



No. 15
The following is a PBE calculation of GaAg2Bi after structural relaxation, from the Alexandria database.

## Properties
offset from the most stable computed form = 12.9 meV/atom
E_form = 0.091 eV/atom

Cell: 3.356 3.356 7.621 Å, 90.00 90.00 90.00°
Fractional positions:
Ga1 0.000 0.000 0.000
Ag1 0.500 0.500 0.206
Ag2 0.500 0.500 0.794
Bi1 0.000 0.000 0.500



No. 16
The following is a PBE calculation of AgTe2Se4 after structural relaxation, from the Alexandria database.

## Properties
ΔE_f (raw) = 0.00 eV per atom
offset from the most stable computed form = 0.0 meV/atom

Cell: 4.180 7.002 7.135 Å, 70.41 85.26 87.87°
Fractional positions:
Ag1 0.000 0.000 0.000
Te1 0.000 0.500 0.500
Te2 0.500 0.500 0.000
Se1 0.015 0.736 0.754
Se2 0.442 0.765 0.225
Se3 0.558 0.235 0.775
Se4 0.985 0.264 0.246



No. 17
The following is a PBE calculation of Ba6IrPt2I3 after structural relaxation, from the Alexandria database.

## Properties
ΔE_f (raw) = -1.02 eV per atom

Cell: 8.035 8.035 9.000 Å, 98.55 98.55 119.99°
Fractional positions:
Ba1 0.066 0.390 0.199
Ba2 0.257 0.257 0.801
Ba3 0.390 0.066 0.199
Ba4 0.610 0.934 0.801
Ba5 0.743 0.743 0.199
Ba6 0.934 0.610 0.801
Ir1 0.000 0.000 0.000
Pt1 0.333 0.667 0.000
Pt2 0.667 0.333 0.000
I1 0.167 0.833 0.500
I2 0.500 0.500 0.500
I3 0.833 0.167 0.500



No. 18
The following is a PBE calculation of LaYSc after structural relaxation, from the Alexandria database.

## Properties
offset from the most stable computed form = 215.5 meV/atom
E_form = 0.260 eV/atom

Cell: 9.513 9.513 9.513 Å, 20.66 20.66 20.66°
Fractional positions:
La1 0.000 0.000 0.000
Y1 0.879 0.879 0.879
Sc1 0.766 0.766 0.766



| no. | total energy (eV per atom) |
| --- | --- |
| 1 | -9.021 |
| 2 | -7.490 |
| 3 | -5.102 |
| 4 | -6.045 |
| 5 | -5.557 |
| 6 | -5.833 |
| 7 | -2.101 |
| 8 | -3.856 |
| 9 | -3.491 |
| 10 | -6.013 |
| 11 | -6.626 |
| 12 | -6.200 |
| 13 | -9.470 |
| 14 | -6.373 |
| 15 | -3.061 |
| 16 | -3.291 |
| 17 | -4.111 |
| 18 | -5.647 |